First-principles (GGA-PBE) data for a relaxed KReTc2 crystal, as listed in Alexandria via LeMat-Bulk.

Cell lengths 2.769, 4.851, 5.070 Å; angles 90.00, 90.00, 90.00 degrees
Element x y z (fractional)
K1 0.000 0.000 0.000
Re1 0.500 0.000 0.500
Tc1 0.000 0.500 0.500
Tc2 0.500 0.500 0.000

---

First-principles (GGA-PBE) data for a relaxed NaLi2Al2 crystal, as listed in Alexandria via LeMat-Bulk.

Cell lengths 7.314, 7.314, 7.314 Å; angles 148.35, 148.35, 45.36 degrees
Element x y z (fractional)
Na1 0.000 0.000 0.000
Li1 0.250 0.750 0.500
Li2 0.750 0.250 0.500
Al1 0.402 0.402 0.000
Al2 0.598 0.598 0.000

---

Number 1: electronic total energy -0.2542 hartree per atom, energy relative to the elements 1.65 eV/atom. Number 2: electronic total energy -0.0873 hartree per atom, energy relative to the elements 0.15 eV/atom.